P | LaNbIn | GGA-PBE | optimized geometry

Unit cell a=5.127 b=5.127 c=5.127 alpha=60.00 beta=60.00 gamma=60.00
Fractional positions:
In1 0.250 0.250 0.250
Nb1 0.750 0.750 0.750
La1 0.000 0.000 0.000

Values from the calculation:
Space-group type   F-43m, No. 216

Q | LaNbIn | GGA-PBE | optimized geometry

Unit cell a=4.999 b=4.999 c=4.999 alpha=60.00 beta=60.00 gamma=60.00
Fractional positions:
In1 0.250 0.250 0.250
Nb1 0.000 0.000 0.000
La1 0.750 0.750 0.750

Values from the calculation:
Space-group type   F-43m, No. 216

Which one is most stable, and which one is least stable? Q is the most stable of them, while P is the least stable.

P | LaTbIn2Ni4 | GGA-PBE | optimized geometry

Unit cell a=4.445 b=4.445 c=8.836 alpha=90.00 beta=90.00 gamma=120.00
Fractional positions:
Ni1 0.000 0.000 0.333
Ni2 0.000 0.000 0.667
Ni3 0.667 0.333 0.189
Ni4 0.667 0.333 0.811
La1 0.000 0.000 0.000
In1 0.333 0.667 0.737
In2 0.333 0.667 0.263
Tb1 0.667 0.333 0.500

Values from the calculation:
Space-group type   P-6m2, No. 187

Q | LaTbIn2Ni4 | GGA-PBE | optimized geometry

Unit cell a=4.054 b=5.194 c=7.113 alpha=90.00 beta=90.00 gamma=90.00
Fractional positions:
Ni1 0.000 0.000 0.111
Ni2 0.000 0.500 0.889
Ni3 0.500 0.742 0.006
Ni4 0.500 0.258 0.006
La1 0.000 0.000 0.731
In1 0.500 0.500 0.644
In2 0.500 0.000 0.344
Tb1 0.000 0.500 0.268

Values from the calculation:
Space-group type   Pmm2, No. 25

Which one is most stable, and which one is least stable? Q is the most stable of them, while P is the least stable.

P | LaPrIn2 | GGA-PBE | optimized geometry

Unit cell a=3.920 b=3.920 c=7.853 alpha=90.00 beta=90.00 gamma=90.00
Fractional positions:
Pr1 0.000 0.000 0.000
In1 0.500 0.500 0.756
In2 0.500 0.500 0.244
La1 0.000 0.000 0.500

Values from the calculation:
Space-group type   P4/mmm, No. 123

Q | LaPrIn2 | GGA-PBE | optimized geometry

Unit cell a=6.273 b=6.057 c=6.292 alpha=90.00 beta=99.54 gamma=90.00
Fractional positions:
Pr1 0.480 0.750 0.351
Pr2 0.520 0.250 0.649
La1 0.855 0.750 0.982
La2 0.145 0.250 0.018
In1 0.000 0.500 0.500
In2 0.668 0.250 0.173
In3 0.000 0.000 0.500
In4 0.332 0.750 0.827

Values from the calculation:
Space-group type   P2_1/m, No. 11

Which one is most stable, and which one is least stable? P is the most stable of them, while Q is the least stable.

P | LiLuInNi | GGA-PBE | optimized geometry

Unit cell a=4.612 b=4.612 c=4.612 alpha=60.00 beta=60.00 gamma=60.00
Fractional positions:
Lu1 0.500 0.500 0.500
In1 0.000 0.000 0.000
Ni1 0.750 0.750 0.750
Li1 0.250 0.250 0.250

Values from the calculation:
Space-group type   F-43m, No. 216

Q | LiLuInNi | GGA-PBE | optimized geometry

Unit cell a=4.687 b=4.687 c=4.687 alpha=60.00 beta=60.00 gamma=60.00
Fractional positions:
In1 0.000 0.000 0.000
Ni1 0.750 0.750 0.750
Lu1 0.250 0.250 0.250
Li1 0.500 0.500 0.500

Values from the calculation:
Space-group type   F-43m, No. 216

Which one is most stable, and which one is least stable? P is the most stable of them, while Q is the least stable.

P | LiLuInPd | GGA-PBE | optimized geometry

Unit cell a=4.741 b=4.741 c=4.741 alpha=60.00 beta=60.00 gamma=60.00
Fractional positions:
Lu1 0.000 0.000 0.000
Li1 0.750 0.750 0.750
In1 0.500 0.500 0.500
Pd1 0.250 0.250 0.250

Values from the calculation:
Space-group type   F-43m, No. 216

Q | LiLuInPd | GGA-PBE | optimized geometry

Unit cell a=4.762 b=4.762 c=4.762 alpha=60.00 beta=60.00 gamma=60.00
Fractional positions:
Pd1 0.000 0.000 0.000
In1 0.250 0.250 0.250
Lu1 0.500 0.500 0.500
Li1 0.750 0.750 0.750

Values from the calculation:
Space-group type   F-43m, No. 216

Which one is most stable, and which one is least stable? P is the most stable of them, while Q is the least stable.

P | LiInNiPb | GGA-PBE | optimized geometry

Unit cell a=4.682 b=4.682 c=4.682 alpha=60.00 beta=60.00 gamma=60.00
Fractional positions:
In1 0.500 0.500 0.500
Li1 0.750 0.750 0.750
Ni1 0.250 0.250 0.250
Pb1 0.000 0.000 0.000

Values from the calculation:
Space-group type   F-43m, No. 216

Q | LiInNiPb | GGA-PBE | optimized geometry

Unit cell a=4.821 b=4.821 c=4.821 alpha=60.00 beta=60.00 gamma=60.00
Fractional positions:
In1 0.250 0.250 0.250
Ni1 0.500 0.500 0.500
Pb1 0.000 0.000 0.000
Li1 0.750 0.750 0.750

Values from the calculation:
Space-group type   F-43m, No. 216

Which one is most stable, and which one is least stable? P is the most stable of them, while Q is the least stable.